# GaPb2F8 (PBE, optimized geometry)
data_GaPb2F8
_cell_length_a 9.8880
_cell_length_b 7.4962
_cell_length_c 4.7299
_cell_angle_alpha 90.00
_cell_angle_beta 109.46
_cell_angle_gamma 90.00
_symmetry_space_group_name_H-M 'C 1 2/m 1'
_symmetry_Int_Tables_number 12
loop_
_symmetry_equiv_pos_as_xyz
'x,y,z'
'-x,-y,-z'
'-x,y,-z'
'x,-y,z'
'x+1/2,y+1/2,z'
'-x+1/2,-y+1/2,-z'
'-x+1/2,y+1/2,-z'
'x+1/2,-y+1/2,z'
loop_
_atom_site_label
_atom_site_type_symbol
_atom_site_fract_x
_atom_site_fract_y
_atom_site_fract_z
_atom_site_occupancy
Ga1 Ga 0.0000 0.0000 0.0000 1
Pb1 Pb 0.1706 0.5000 0.3550 1
F1 F 0.0951 0.5000 0.8087 1
F2 F 0.1176 0.0000 0.7649 1
F3 F 0.1300 0.1785 0.2582 1
# * E: -51.05 eV per formula unit
# * DOS(E_F): 10.1 states/eV/cell
# * uncorrected formation energy: -2331 meV/atom
# * calculated volume: 165.3 Å³/f.u.